(1)
A plane-wave DFT calculation with SCAN was carried out for a crystal of InP2H9N2O8 relaxed with PBEsol.

Values from the calculation:
The density of states at the Fermi level is 0.000 states/eV per atom. The raw total energy is -8.419 eV per atom. Its crystal system is orthorhombic. Its space group is Fdd2.

Unit cell a=6.672 b=6.672 c=9.953 alpha=107.80 beta=107.80 gamma=95.05
Sites, in units of the cell vectors:
In (0.610, 0.891, 0.250)
In (0.860, 0.641, 0.750)
P (0.864, 0.106, 0.651)
P (0.713, 0.455, 0.349)
P (0.046, 0.788, 0.151)
P (0.395, 0.637, 0.849)
H (0.412, 0.760, 0.632)
H (0.428, 0.873, 0.502)
H (0.223, 0.229, 0.528)
H (0.254, 0.944, 0.598)
H (0.156, 0.346, 0.402)
H (0.195, 0.701, 0.472)
H (0.427, 0.371, 0.498)
H (0.280, 0.128, 0.368)
H (0.974, 0.527, 0.250)
H (0.373, 0.221, 0.132)
H (0.130, 0.074, 0.001)
H (0.800, 0.306, 0.028)
H (0.155, 0.345, 0.098)
H (0.557, 0.247, 0.902)
H (0.272, 0.278, 0.972)
H (0.628, 0.073, 0.999)
H (0.740, 0.089, 0.868)
H (0.224, 0.276, 0.750)
N (0.325, 0.821, 0.550)
N (0.275, 0.271, 0.450)
N (0.230, 0.226, 0.050)
N (0.680, 0.176, 0.950)
O (0.828, 0.321, 0.744)
O (0.854, 0.960, 0.745)
O (0.095, 0.138, 0.641)
O (0.701, 0.514, 0.507)
O (0.693, 0.007, 0.493)
O (0.955, 0.497, 0.359)
O (0.584, 0.577, 0.256)
O (0.609, 0.215, 0.255)
O (0.924, 0.916, 0.244)
O (0.286, 0.892, 0.245)
O (0.004, 0.546, 0.141)
O (0.494, 0.807, 0.007)
O (0.987, 0.800, 0.993)
O (0.363, 0.406, 0.859)
O (0.179, 0.672, 0.756)
O (0.541, 0.647, 0.755)

(2)
A plane-wave DFT calculation with SCAN was carried out for a crystal of InHPdN2 relaxed with PBEsol.

Values from the calculation:
The density of states at the Fermi level is 0.634 states/eV per atom. The raw total energy is -16.750 eV per atom. Its crystal system is tetragonal. Its space group is P4/mmm.

Unit cell a=3.268 b=4.043 c=4.043 alpha=90.00 beta=90.00 gamma=90.00
Sites, in units of the cell vectors:
H (0.500, 0.000, 0.000)
N (0.000, 0.000, 0.500)
N (0.000, 0.500, 0.000)
Pd (0.000, 0.000, 0.000)
In (0.500, 0.500, 0.500)

(3)
A plane-wave DFT calculation with SCAN was carried out for a crystal of InHSeN2 relaxed with PBEsol.

Values from the calculation:
The density of states at the Fermi level is 0.398 states/eV per atom. The raw total energy is -13.263 eV per atom. Its crystal system is tetragonal. Its space group is P4/mmm.

Unit cell a=4.163 b=4.163 c=5.653 alpha=90.00 beta=90.00 gamma=90.00
Site moments in Bohr magnetons follow the coordinates.
Sites, in units of the cell vectors:
H (0.500, 0.500, 0.500)  -0.27
N (0.000, 0.500, 0.000)  1.27
N (0.500, 0.000, 0.000)  1.27
Se (0.000, 0.000, 0.500)  0.64
In (0.000, 0.000, 0.000)  -0.06

(4)
A plane-wave DFT calculation with SCAN was carried out for a crystal of Na2InH relaxed with PBEsol.

Values from the calculation:
The density of states at the Fermi level is 0.119 states/eV per atom. The raw total energy is -11.356 eV per atom. Its crystal system is tetragonal. Its space group is I-42d.

Unit cell a=6.251 b=6.251 c=6.251 alpha=85.14 beta=62.77 gamma=117.23
Sites, in units of the cell vectors:
Na (0.143, 0.518, 0.125)
Na (0.857, 0.732, 0.625)
Na (0.357, 0.625, 0.518)
Na (0.643, 0.125, 0.732)
H (0.000, 0.500, 0.500)
H (0.500, 0.750, 0.750)
In (0.000, 0.000, 0.000)
In (0.500, 0.250, 0.250)

(5)
A plane-wave DFT calculation with SCAN was carried out for a crystal of NaNb2InH relaxed with PBEsol.

Values from the calculation:
The density of states at the Fermi level is 0.900 states/eV per atom. The raw total energy is -19.990 eV per atom. Its crystal system is tetragonal. Its space group is P4/mmm.

Unit cell a=3.112 b=5.237 c=5.237 alpha=90.00 beta=90.00 gamma=90.00
Sites, in units of the cell vectors:
Na (0.000, 0.000, 0.000)
Nb (0.000, 0.000, 0.500)
Nb (0.000, 0.500, 0.000)
H (0.500, 0.000, 0.000)
In (0.500, 0.500, 0.500)

(6)
A plane-wave DFT calculation with SCAN was carried out for a crystal of NaInH12Se2O14 relaxed with PBEsol.

Values from the calculation:
The density of states at the Fermi level is 0.000 states/eV per atom. The raw total energy is -7.996 eV per atom. Its crystal system is monoclinic. Its space group is C2/c.

Unit cell a=7.185 b=7.186 c=12.386 alpha=93.93 beta=93.89 gamma=106.88
Sites, in units of the cell vectors:
Na (0.919, 0.581, 0.750)
Na (0.081, 0.419, 0.250)
In (0.500, 0.000, 0.500)
In (0.500, 0.000, 0.000)
H (0.918, 0.676, 0.507)
H (0.082, 0.324, 0.493)
H (0.778, 0.211, 0.880)
H (0.222, 0.789, 0.120)
H (0.785, 0.983, 0.169)
H (0.215, 0.017, 0.831)
H (0.751, 0.688, 0.579)
H (0.249, 0.312, 0.421)
H (0.517, 0.715, 0.331)
H (0.483, 0.285, 0.669)
H (0.289, 0.723, 0.620)
H (0.711, 0.277, 0.380)
H (0.894, 0.243, 0.003)
H (0.106, 0.757, 0.997)
H (0.811, 0.749, 0.921)
H (0.189, 0.251, 0.079)
H (0.735, 0.840, 0.380)
H (0.265, 0.160, 0.620)
H (0.823, 0.582, 0.993)
H (0.177, 0.418, 0.007)
H (0.743, 0.393, 0.503)
H (0.257, 0.607, 0.497)
H (0.659, 0.765, 0.120)
H (0.341, 0.235, 0.880)
Se (0.427, 0.602, 0.810)
Se (0.573, 0.398, 0.190)
Se (0.898, 0.073, 0.690)
Se (0.102, 0.927, 0.310)
O (0.563, 0.513, 0.731)
O (0.437, 0.487, 0.269)
O (0.657, 0.907, 0.128)
O (0.343, 0.093, 0.872)
O (0.262, 0.678, 0.741)
O (0.738, 0.322, 0.259)
O (0.705, 0.918, 0.612)
O (0.295, 0.082, 0.388)
O (0.822, 0.238, 0.759)
O (0.178, 0.762, 0.241)
O (0.593, 0.842, 0.372)
O (0.407, 0.158, 0.628)
O (0.988, 0.937, 0.768)
O (0.012, 0.063, 0.232)
O (0.938, 0.811, 0.390)
O (0.062, 0.189, 0.610)
O (0.758, 0.212, 0.961)
O (0.242, 0.788, 0.039)
O (0.312, 0.438, 0.890)
O (0.688, 0.562, 0.110)
O (0.833, 0.603, 0.560)
O (0.167, 0.397, 0.440)
O (0.582, 0.795, 0.888)
O (0.418, 0.205, 0.112)
O (0.897, 0.666, 0.940)
O (0.103, 0.334, 0.060)
O (0.288, 0.742, 0.539)
O (0.712, 0.258, 0.461)

(7)
A plane-wave DFT calculation with SCAN was carried out for a crystal of Nb2InH2 relaxed with PBEsol.

Values from the calculation:
The density of states at the Fermi level is 0.486 states/eV per atom. The raw total energy is -21.494 eV per atom. Its crystal system is tetragonal. Its space group is I4/mmm.

Unit cell a=3.608 b=3.608 c=5.342 alpha=109.74 beta=109.74 gamma=90.00
Sites, in units of the cell vectors:
H (0.250, 0.750, 0.500)
H (0.750, 0.250, 0.500)
Nb (0.332, 0.332, 0.664)
Nb (0.668, 0.668, 0.336)
In (0.000, 0.000, 0.000)

(8)
A plane-wave DFT calculation with SCAN was carried out for a crystal of InNi3H relaxed with PBEsol.

Values from the calculation:
The density of states at the Fermi level is 0.486 states/eV per atom. The raw total energy is -17.182 eV per atom. Its crystal system is cubic. Its space group is Pm-3m.

Unit cell a=3.714 b=3.714 c=3.714 alpha=90.00 beta=90.00 gamma=90.00
Sites, in units of the cell vectors:
Ni (0.000, 0.500, 0.000)
Ni (0.000, 0.000, 0.500)
Ni (0.500, 0.000, 0.000)
H (0.000, 0.000, 0.000)
In (0.500, 0.500, 0.500)